Entry 1:
{"formula": "Mg2TaVO6", "functional": "PBE+U", "state": "optimized geometry", "lattice_angstrom": [[5.2015, -0.0003, 0.0003], [2.6007, 4.5049, 0.0000], [2.6023, 1.5024, 4.6839]], "species": ["O", "V", "O", "O", "Ta", "Mg", "O", "O", "O", "Mg"], "frac_coords": [[0.1040, 0.4307, 0.7629], [0.8154, 0.8154, 0.5540], [0.7025, 0.1041, 0.7628], [0.4307, 0.7026, 0.7627], [0.3159, 0.3159, 0.0523], [0.0268, 0.0268, 0.9196], [0.2085, 0.9404, 0.2561], [0.5948, 0.2086, 0.2562], [0.9406, 0.5947, 0.2563], [0.5225, 0.5225, 0.4324]], "total_magnetization_mub_per_atom": 0.200, "space_group": "R3 (146)", "final_energy_ev_per_cell": -78.46, "relative_energy_ev_per_fu": 0.000}


Entry 2:
{"formula": "Mg2TaVO6", "functional": "PBE+U", "state": "optimized geometry", "lattice_angstrom": [[7.6020, 0.0000, 0.0000], [0.0000, 5.2224, -0.0299], [0.0000, -0.0021, 5.4092]], "species": ["O", "Mg", "Ta", "V", "Mg", "V", "O", "Ta", "O", "O", "O", "O", "O", "O", "Mg", "O", "O", "Mg", "O", "O"], "frac_coords": [[0.0681, 0.1688, 0.1899], [0.7500, 0.0043, 0.0366], [0.5000, 0.0000, 0.5000], [0.5000, 0.5000, 0.0000], [0.2500, 0.9957, 0.9634], [0.0000, 0.5000, 0.0000], [0.5681, 0.8312, 0.8101], [0.0000, 0.0000, 0.5000], [0.2500, 0.6239, 0.0679], [0.5678, 0.6824, 0.3214], [0.9319, 0.8312, 0.8101], [0.2500, 0.8673, 0.5615], [0.9322, 0.6824, 0.3214], [0.7500, 0.1327, 0.4385], [0.7500, 0.5146, 0.5650], [0.4322, 0.3176, 0.6786], [0.0678, 0.3176, 0.6786], [0.2500, 0.4854, 0.4350], [0.7500, 0.3761, 0.9321], [0.4319, 0.1688, 0.1899]], "total_magnetization_mub_per_atom": 0.200, "space_group": "P2_1/m (11)", "final_energy_ev_per_cell": -155.76, "relative_energy_ev_per_fu": 0.577}